First-principles (PBE-GGA) data for a relaxed structure of ReHgH2O, as listed in Alexandria via LeMat-Bulk.

Properties
E = -4.012 eV/atom

```
data_ReHgH2O
_chemical_formula_sum 'Re1 Hg1 H2 O1'
_cell_length_a 3.313
_cell_length_b 3.313
_cell_length_c 5.920
_cell_angle_alpha 90.00
_cell_angle_beta 90.00
_cell_angle_gamma 90.00
_space_group_name_H-M_alt 'P 4/m m m'
_space_group_IT_number 123
_space_group_name_Hall '-P 4 2'
loop_
_atom_site_label
_atom_site_type_symbol
_atom_site_fract_x
_atom_site_fract_y
_atom_site_fract_z
Re1 Re 0.000 0.000 0.000
Hg1 Hg 0.000 0.000 0.500
H1 H 0.000 0.500 0.500
O1 O 0.500 0.500 0.000
```

=====

First-principles (PBE-GGA) data for a relaxed structure of Ac4La2Hg3N2, as listed in Alexandria via LeMat-Bulk.

Properties
E = -4.620 eV/atom
Formation energy without anion corrections = -0.63 eV/atom

```
data_Ac4La2Hg3N2
_chemical_formula_sum 'Ac8 La4 Hg6 N4'
_cell_length_a 5.258
_cell_length_b 5.258
_cell_length_c 25.293
_cell_angle_alpha 90.00
_cell_angle_beta 90.00
_cell_angle_gamma 90.00
_space_group_name_H-M_alt 'I 4/m m m'
_space_group_IT_number 139
_space_group_name_Hall '-I 4 2'
loop_
_atom_site_label
_atom_site_type_symbol
_atom_site_fract_x
_atom_site_fract_y
_atom_site_fract_z
Ac1 Ac 0.000 0.500 0.086
La1 La 0.000 0.000 0.198
Hg1 Hg 0.000 0.000 0.327
Hg2 Hg 0.000 0.000 0.500
N1 N 0.000 0.000 0.110
```

=====

First-principles (PBE-GGA) data for a relaxed structure of Pr2Nd3Mg, as listed in Alexandria via LeMat-Bulk.

Properties
DFT formation energy = 0.0 eV per formula unit
E = -4.236 eV/atom
Polymorph energy (0 for the lowest one) = 0 meV/atom

```
data_Pr2Nd3Mg
_chemical_formula_sum 'Pr4 Nd6 Mg2'
_cell_length_a 5.080
_cell_length_b 15.535
_cell_length_c 5.133
_cell_angle_alpha 90.00
_cell_angle_beta 90.00
_cell_angle_gamma 90.00
_space_group_name_H-M_alt 'C m m m'
_space_group_IT_number 65
_space_group_name_Hall '-C 2 2'
loop_
_atom_site_label
_atom_site_type_symbol
_atom_site_fract_x
_atom_site_fract_y
_atom_site_fract_z
Pr1 Pr 0.000 0.165 0.000
Nd1 Nd 0.000 0.000 0.500
Nd2 Nd 0.000 0.333 0.500
Mg1 Mg 0.000 0.500 0.000
```

=====

First-principles (PBE-GGA) data for a relaxed structure of Tb4Pm9Dy11, as listed in Alexandria via LeMat-Bulk.

Properties
DFT formation energy = 1.3 eV per formula unit
E = -4.610 eV/atom

```
data_Tb4Pm9Dy11
_chemical_formula_sum 'Tb8 Pm18 Dy22'
_cell_length_a 16.774
_cell_length_b 25.486
_cell_length_c 3.707
_cell_angle_alpha 90.00
_cell_angle_beta 90.00
_cell_angle_gamma 90.00
_space_group_name_H-M_alt 'C m m m'
_space_group_IT_number 65
_space_group_name_Hall '-C 2 2'
loop_
_atom_site_label
_atom_site_type_symbol
_atom_site_fract_x
_atom_site_fract_y
_atom_site_fract_z
Tb1 Tb 0.155 0.100 0.000
Pm1 Pm 0.000 0.000 0.000
Pm2 Pm 0.103 0.234 0.000
Pm3 Pm 0.139 0.426 0.000
Dy1 Dy 0.000 0.133 0.500
Dy2 Dy 0.000 0.339 0.500
Dy3 Dy 0.000 0.500 0.500
Dy4 Dy 0.211 0.000 0.500
Dy5 Dy 0.225 0.320 0.500
```

=====

First-principles (PBE-GGA) data for a relaxed structure of Tl5Sb3, as listed in Alexandria via LeMat-Bulk.

Properties
E = -2.997 eV/atom
Formation energy without anion corrections = 0.03 eV/atom

```
data_Tl5Sb3
_chemical_formula_sum 'Tl10 Sb6'
_cell_length_a 9.911
_cell_length_b 10.639
_cell_length_c 4.712
_cell_angle_alpha 90.00
_cell_angle_beta 90.00
_cell_angle_gamma 90.00
_space_group_name_H-M_alt 'C m m m'
_space_group_IT_number 65
_space_group_name_Hall '-C 2 2'
loop_
_atom_site_label
_atom_site_type_symbol
_atom_site_fract_x
_atom_site_fract_y
_atom_site_fract_z
Tl1 Tl 0.000 0.000 0.000
Tl2 Tl 0.000 0.256 0.500
Tl3 Tl 0.250 0.250 0.000
Sb1 Sb 0.000 0.500 0.000
Sb2 Sb 0.223 0.500 0.500
```